{"formula": "Pr6Sb2Te3As", "functional": "GGA-PBE", "state": "relaxed", "cell": [[4.487, 0.000, 0.000], [0.000, 9.063, 0.274], [-2.243, -2.661, 9.509]], "species": ["Pr", "Pr", "Pr", "Pr", "Pr", "Pr", "Sb", "Sb", "Te", "Te", "Te", "As"], "fractional_positions": [[0.344, 0.917, 0.688], [0.668, 0.578, 0.335], [0.656, 0.083, 0.312], [0.001, 0.227, 0.001], [0.999, 0.773, 0.999], [0.332, 0.422, 0.665], [0.834, 0.667, 0.667], [0.166, 0.333, 0.333], [0.500, 0.500, 0.000], [0.830, 0.165, 0.661], [0.170, 0.835, 0.339], [0.500, 0.000, 0.000]], "magnetic_moment_mub_per_cell": 0.0, "n_ef_per_ev_fu": 5.316, "raw_formation_energy_ev_per_atom": -1.416, "space_group": "C2/m, No. 12"}